Density functional theory data (GGA-PBE) for a relaxed Li2Tl2RhO6 crystal.

Structure (POSCAR):
```
Li2Tl2RhO6
1.0
2.896 -5.026 0.000
2.896 5.026 0.000
-1.235 0.000 5.034
Li Tl Rh O
2 2 1 6
Direct
0.125 0.875 0.000
0.875 0.125 0.000
0.336 0.664 0.500
0.664 0.336 0.500
0.000 0.000 0.500
0.039 0.333 0.718
0.233 0.233 0.272
0.333 0.039 0.718
0.667 0.961 0.282
0.767 0.767 0.728
0.961 0.667 0.282
```

Output
final energy = -5.171 eV per atom
uncorrected formation energy = -1020 meV per atom
magnetic moment = 1.1 μB/f.u.
density = 7.0 g/cm³
V = 146.53 Å³ per cell

***

Density functional theory data (GGA-PBE) for a relaxed GaCu8Ge2 crystal.

Structure (POSCAR):
```
GaCu8Ge2
1.0
-1.884 3.490 5.643
1.884 -3.490 5.643
1.884 3.490 -5.643
Ga Cu Ge
1 8 2
Direct
0.000 0.000 0.000
0.093 0.837 0.255
0.168 0.668 0.500
0.260 0.500 0.760
0.418 0.163 0.255
0.582 0.837 0.745
0.740 0.500 0.240
0.832 0.332 0.500
0.907 0.163 0.745
0.335 0.335 0.000
0.665 0.665 0.000
```

Output
final energy = -4.090 eV per atom
magnetic moment = 0.0 μB/f.u.
density = 8.1 g/cm³
energy relative to the lowest polymorph listed for this composition = 0.0 meV per atom
V = 148.44 Å³ per cell

***

Density functional theory data (GGA-PBE) for a relaxed SrLi4La crystal.

Structure (POSCAR):
```
SrLi4La
1.0
0.000 4.424 4.424
4.424 0.000 4.424
4.424 4.424 0.000
Sr Li La
1 4 1
Direct
0.000 0.000 0.000
0.126 0.625 0.625
0.625 0.126 0.625
0.625 0.625 0.126
0.625 0.625 0.625
0.250 0.250 0.250
```

Output
final energy = -2.281 eV per atom
magnetic moment = 0.0 μB/f.u.
density = 2.4 g/cm³
V = 173.12 Å³ per cell

***

Density functional theory data (GGA-PBE) for a relaxed Tl2CuNi2 crystal.

Structure (POSCAR):
```
Tl2CuNi2
1.0
7.356 0.000 0.000
0.000 7.356 0.000
0.000 0.000 3.165
Tl Cu Ni
4 2 4
Direct
0.166 0.334 0.000
0.334 0.834 0.000
0.666 0.166 0.000
0.834 0.666 0.000
0.000 0.000 0.000
0.500 0.500 0.000
0.131 0.631 0.500
0.369 0.131 0.500
0.631 0.869 0.500
0.869 0.369 0.500
```

Output
final energy = -3.667 eV per atom
magnetic moment = 0.0 μB/f.u.
density = 11.4 g/cm³
energy relative to the lowest polymorph listed for this composition = 153.4 meV per atom
V = 171.27 Å³ per cell

***

Density functional theory data (GGA-PBE) for a relaxed NaMn4V2 crystal.

Structure (POSCAR):
```
NaMn4V2
1.0
-2.227 2.227 6.189
2.227 -2.227 6.189
2.227 2.227 -6.189
Na Mn V
1 4 2
Direct
0.000 0.000 0.000
0.000 0.500 0.500
0.203 0.203 0.000
0.500 0.000 0.500
0.797 0.797 0.000
0.382 0.382 0.000
0.618 0.618 0.000
```

Output
final energy = -6.650 eV per atom
magnetic moment = 7.9 μB/f.u.
density = 4.7 g/cm³
V = 122.78 Å³ per cell

***

Density functional theory data (GGA-PBE) for a relaxed FeHgW crystal.

Structure (POSCAR):
```
FeHgW
1.0
0.000 3.082 3.082
3.082 0.000 3.082
3.082 3.082 0.000
Fe Hg W
1 1 1
Direct
0.000 0.000 0.000
0.500 0.500 0.500
0.250 0.250 0.250
```

Output
final energy = -5.945 eV per atom
magnetic moment = 1.6 μB/f.u.
density = 12.5 g/cm³
energy relative to the lowest polymorph listed for this composition = 1017.6 meV per atom
V = 58.53 Å³ per cell

***

Density functional theory data (GGA-PBE) for a relaxed NdHfAl2 crystal.

Structure (POSCAR):
```
NdHfAl2
1.0
1.648 0.951 9.735
-1.648 0.951 9.735
0.000 -1.902 9.735
Nd Hf Al
1 1 2
Direct
0.000 0.000 0.000
0.500 0.500 0.500
0.243 0.243 0.243
0.757 0.757 0.757
```

Output
final energy = -5.587 eV per atom
magnetic moment = 0.0 μB/f.u.
density = 6.8 g/cm³
energy relative to the lowest polymorph listed for this composition = 233.6 meV per atom
V = 91.54 Å³ per cell

***

Density functional theory data (GGA-PBE) for a relaxed ZnTeSN2 crystal.

Structure (POSCAR):
```
ZnTeSN2
1.0
3.616 0.000 0.000
0.000 3.616 0.000
0.000 0.000 7.969
Zn Te S N
1 1 1 2
Direct
0.000 0.000 0.000
0.500 0.500 0.000
0.500 0.500 0.500
0.000 0.500 0.500
0.500 0.000 0.500
```

Output
final energy = -3.628 eV per atom
uncorrected formation energy = 1411 meV per atom
magnetic moment = 0.0 μB/f.u.
density = 4.0 g/cm³
energy relative to the lowest polymorph listed for this composition = 169.6 meV per atom
V = 104.18 Å³ per cell

***

Density functional theory data (GGA-PBE) for a relaxed CeThPaSn crystal.

Structure (POSCAR):
```
CeThPaSn
1.0
0.000 3.829 3.829
3.829 0.000 3.829
3.829 3.829 0.000
Ce Th Pa Sn
1 1 1 1
Direct
0.000 0.000 0.000
0.500 0.500 0.500
0.750 0.750 0.750
0.250 0.250 0.250
```

Output
final energy = -6.719 eV per atom
magnetic moment = 3.1 μB/f.u.
density = 10.7 g/cm³
V = 112.26 Å³ per cell

***

Density functional theory data (GGA-PBE) for a relaxed Na4Sm3PuS8 crystal.

Structure (POSCAR):
```
Na4Sm3PuS8
1.0
4.075 2.353 6.674
-4.075 2.353 6.674
0.000 -4.705 6.674
Na Sm Pu S
4 3 1 8
Direct
0.000 0.000 0.000
0.000 0.500 0.500
0.500 0.000 0.500
0.500 0.500 0.000
0.000 0.000 0.500
0.000 0.500 0.000
0.500 0.000 0.000
0.500 0.500 0.500
0.244 0.244 0.244
0.245 0.742 0.742
0.258 0.258 0.755
0.258 0.755 0.258
0.742 0.245 0.742
0.742 0.742 0.245
0.755 0.258 0.258
0.756 0.756 0.756
```

Output
final energy = -5.910 eV per atom
uncorrected formation energy = -1736 meV per atom
magnetic moment = 5.0 μB/f.u.
density = 4.5 g/cm³
V = 383.82 Å³ per cell

***

Density functional theory data (GGA-PBE) for a relaxed La3Nd6Sc2 crystal.

Structure (POSCAR):
```
La3Nd6Sc2
1.0
2.928 -6.091 0.000
2.928 6.091 0.000
0.000 0.000 10.484
La Nd Sc
3 6 2
Direct
0.000 0.000 0.000
0.293 0.707 0.000
0.707 0.293 0.000
0.150 0.850 0.319
0.150 0.850 0.681
0.500 0.500 0.213
0.500 0.500 0.787
0.850 0.150 0.319
0.850 0.150 0.681
0.373 0.627 0.500
0.627 0.373 0.500
```

Output
final energy = -4.965 eV per atom
magnetic moment = 0.0 μB/f.u.
density = 6.1 g/cm³
V = 373.96 Å³ per cell

***

Density functional theory data (GGA-PBE) for a relaxed Ba2CeCu2O6 crystal.

Structure (POSCAR):
```
Ba2CeCu2O6
1.0
3.051 1.762 5.803
-3.051 1.762 5.803
0.000 -3.523 5.803
Ba Ce Cu O
2 1 2 6
Direct
0.215 0.215 0.215
0.785 0.785 0.785
0.000 0.000 0.000
0.422 0.422 0.422
0.578 0.578 0.578
0.230 0.756 0.756
0.244 0.244 0.770
0.244 0.770 0.244
0.756 0.230 0.756
0.756 0.756 0.230
0.770 0.244 0.244
```

Output
final energy = -6.363 eV per atom
uncorrected formation energy = -2025 meV per atom
magnetic moment = 2.1 μB/f.u.
density = 5.7 g/cm³
V = 187.16 Å³ per cell

***

Density functional theory data (GGA-PBE) for a relaxed GdTm2Sb crystal.

Structure (POSCAR):
```
GdTm2Sb
1.0
4.802 0.000 0.000
0.000 4.802 0.000
0.000 0.000 4.688
Gd Tm Sb
1 2 1
Direct
0.000 0.000 0.000
0.000 0.500 0.500
0.500 0.000 0.500
0.500 0.500 0.000
```

Output
final energy = -7.258 eV per atom
uncorrected formation energy = -471 meV per atom
magnetic moment = 7.8 μB/f.u.
density = 9.5 g/cm³
energy relative to the lowest polymorph listed for this composition = 0.0 meV per atom
V = 108.12 Å³ per cell

***

Density functional theory data (GGA-PBE) for a relaxed LaPu2N4 crystal.

Structure (POSCAR):
```
LaPu2N4
1.0
1.734 -5.696 0.000
1.734 5.696 0.000
0.000 0.000 10.732
La Pu N
2 4 8
Direct
0.107 0.893 0.750
0.893 0.107 0.250
0.367 0.633 0.569
0.367 0.633 0.931
0.633 0.367 0.069
0.633 0.367 0.431
0.000 0.000 0.000
0.000 0.000 0.500
0.269 0.731 0.101
0.269 0.731 0.399
0.454 0.546 0.750
0.546 0.454 0.250
0.731 0.269 0.601
0.731 0.269 0.899
```

Output
final energy = -10.752 eV per atom
uncorrected formation energy = -1196 meV per atom
magnetic moment = 7.0 μB/f.u.
density = 10.7 g/cm³
V = 211.98 Å³ per cell

***

Density functional theory data (GGA-PBE) for a relaxed SrLiV crystal.

Structure (POSCAR):
```
SrLiV
1.0
4.109 0.000 0.000
1.505 3.935 0.000
1.583 1.309 10.860
Sr Li V
2 2 2
Direct
0.000 0.000 0.000
0.422 0.399 0.326
0.107 0.088 0.657
0.769 0.739 0.548
0.451 0.403 0.770
0.671 0.705 0.794
```

Output
final energy = -3.750 eV per atom
magnetic moment = 0.0 μB/f.u.
density = 2.8 g/cm³
energy relative to the lowest polymorph listed for this composition = 35.6 meV per atom
V = 175.61 Å³ per cell

***

Density functional theory data (GGA-PBE) for a relaxed CrRePt crystal.

Structure (POSCAR):
```
CrRePt
1.0
2.731 0.000 0.000
-1.365 2.365 0.000
0.000 0.000 6.644
Cr Re Pt
1 1 1
Direct
0.000 0.000 0.000
0.333 0.667 0.683
0.667 0.333 0.324
```

Output
final energy = -9.299 eV per atom
magnetic moment = 1.0 μB/f.u.
density = 16.8 g/cm³
energy relative to the lowest polymorph listed for this composition = 83.4 meV per atom
V = 42.91 Å³ per cell

***

Density functional theory data (GGA-PBE) for a relaxed Tb5DyIn6 crystal.

Structure (POSCAR):
```
Tb5DyIn6
1.0
2.670 -8.013 0.000
2.670 8.013 0.000
0.000 0.000 7.518
Tb Dy In
5 1 6
Direct
0.000 0.000 0.000
0.333 0.667 0.000
0.333 0.667 0.500
0.667 0.333 0.000
0.667 0.333 0.500
0.000 0.000 0.500
0.166 0.834 0.250
0.166 0.834 0.750
0.500 0.500 0.251
0.500 0.500 0.749
0.834 0.166 0.250
0.834 0.166 0.750
```

Output
final energy = -4.158 eV per atom
magnetic moment = 0.0 μB/f.u.
density = 8.5 g/cm³
V = 321.71 Å³ per cell

***

Density functional theory data (GGA-PBE) for a relaxed Te4Pt5 crystal.

Structure (POSCAR):
```
Te4Pt5
1.0
8.404 0.000 0.000
-4.202 7.278 0.000
0.000 0.000 5.865
Te Pt
8 10
Direct
0.000 0.000 0.000
0.000 0.000 0.500
0.000 0.375 0.250
0.000 0.625 0.750
0.375 0.000 0.250
0.375 0.375 0.750
0.625 0.000 0.750
0.625 0.625 0.250
0.000 0.309 0.750
0.000 0.691 0.250
0.309 0.000 0.750
0.309 0.309 0.250
0.333 0.667 0.000
0.333 0.667 0.500
0.667 0.333 0.000
0.667 0.333 0.500
0.691 0.000 0.250
0.691 0.691 0.750
```

Output
final energy = -4.610 eV per atom
uncorrected formation energy = 142 meV per atom
magnetic moment = 0.0 μB/f.u.
density = 13.8 g/cm³
energy relative to the lowest polymorph listed for this composition = 202.7 meV per atom
V = 358.75 Å³ per cell

***

Density functional theory data (GGA-PBE) for a relaxed ZrScC crystal.

Structure (POSCAR):
```
ZrScC
1.0
5.772 0.000 0.000
0.000 6.678 0.000
-1.946 0.000 5.450
Zr Sc C
4 4 4
Direct
0.228 0.127 0.487
0.228 0.373 0.987
0.772 0.627 0.013
0.772 0.873 0.513
0.233 0.623 0.500
0.233 0.877 0.000
0.767 0.123 0.000
0.767 0.377 0.500
0.004 0.124 0.744
0.004 0.376 0.244
0.996 0.624 0.756
0.996 0.876 0.256
```

Output
final energy = -8.564 eV per atom
magnetic moment = 0.0 μB/f.u.
density = 4.7 g/cm³
energy relative to the lowest polymorph listed for this composition = 0.0 meV per atom
V = 210.07 Å³ per cell

***

Density functional theory data (GGA-PBE) for a relaxed KHg2Ge crystal.

Structure (POSCAR):
```
KHg2Ge
1.0
-2.915 2.915 8.961
2.915 -2.915 8.961
2.915 2.915 -8.961
K Hg Ge
2 4 2
Direct
0.000 0.000 0.000
0.750 0.250 0.500
0.312 0.625 0.187
0.375 0.562 0.687
0.438 0.125 0.813
0.875 0.688 0.313
0.250 0.750 0.500
0.500 0.500 0.000
```

Output
final energy = -1.567 eV per atom
magnetic moment = 0.0 μB/f.u.
density = 5.6 g/cm³
V = 304.64 Å³ per cell

***

Density functional theory data (GGA-PBE) for a relaxed Pa6AuS12 crystal.

Structure (POSCAR):
```
Pa6AuS12
1.0
6.342 3.662 3.335
-6.342 3.662 3.335
0.000 -7.323 3.335
Pa Au S
6 1 12
Direct
0.249 0.249 0.663
0.249 0.663 0.249
0.337 0.751 0.751
0.663 0.249 0.249
0.751 0.337 0.751
0.751 0.751 0.337
0.000 0.000 0.000
0.129 0.500 0.871
0.129 0.871 0.500
0.186 0.451 0.451
0.451 0.186 0.451
0.451 0.451 0.186
0.500 0.129 0.871
0.500 0.871 0.129
0.549 0.549 0.814
0.549 0.814 0.549
0.814 0.549 0.549
0.871 0.129 0.500
0.871 0.500 0.129
```

Output
final energy = -7.158 eV per atom
uncorrected formation energy = -1380 meV per atom
magnetic moment = 4.8 μB/f.u.
density = 7.0 g/cm³
V = 464.65 Å³ per cell

***

Density functional theory data (GGA-PBE) for a relaxed RbSn2SbSe6 crystal.

Structure (POSCAR):
```
RbSn2SbSe6
1.0
7.830 -6.041 0.000
7.830 6.041 0.000
-3.628 0.000 6.929
Rb Sn Sb Se
2 4 2 12
Direct
0.214 0.786 0.750
0.786 0.214 0.250
0.136 0.328 0.070
0.328 0.136 0.570
0.672 0.864 0.430
0.864 0.672 0.930
0.292 0.708 0.250
0.708 0.292 0.750
0.111 0.145 0.723
0.118 0.540 0.881
0.145 0.111 0.223
0.339 0.470 0.359
0.460 0.882 0.619
0.470 0.339 0.859
0.530 0.661 0.141
0.540 0.118 0.381
0.661 0.530 0.641
0.855 0.889 0.777
0.882 0.460 0.119
0.889 0.855 0.277
```

Output
final energy = -3.842 eV per atom
uncorrected formation energy = -442 meV per atom
magnetic moment = 0.0 μB/f.u.
density = 4.7 g/cm³
V = 655.49 Å³ per cell

***

Density functional theory data (GGA-PBE) for a relaxed ScCu3Tc crystal.

Structure (POSCAR):
```
ScCu3Tc
1.0
4.583 0.000 0.000
0.000 4.583 0.000
0.000 0.000 4.583
Sc Cu Tc
1 3 1
Direct
0.000 0.000 0.000
0.000 0.500 0.500
0.500 0.000 0.500
0.500 0.500 0.000
0.500 0.500 0.500
```

Output
final energy = -4.922 eV per atom
magnetic moment = 0.0 μB/f.u.
density = 5.8 g/cm³
energy relative to the lowest polymorph listed for this composition = 0.0 meV per atom
V = 96.25 Å³ per cell